This record from the Alexandria database describes SmDyHo6 after structural relaxation. The functional is PBE-GGA.

Unit cell a=6.4168 b=8.5445 c=8.5464 alpha=68.21 beta=48.28 gamma=48.28
Atoms (fractional coordinates):
Sm 0.5000 0.5000 0.5000
Dy 0.0000 0.0000 0.0000
Ho 0.7494 0.5460 0.9533
Ho 0.6559 0.0469 0.7512
Ho 0.1585 0.2488 0.5461
Ho 0.3441 0.9531 0.2488
Ho 0.2506 0.4540 0.0467
Ho 0.8415 0.7512 0.4539

## Properties
The calculated formation energy is 0.153 eV per atom. The calculation puts the excess energy over the best structure of this formula in the dataset at 0 meV per atom. For the total energy, the calculation gives -4.45 eV/atom. As for the magnetization: 0.00 μB/cell. The value obtained for the density of states at the Fermi level is 12.44 states/eV per cell.